{"formula": "SiSbPCl2", "functional": "PBE", "state": "relaxed", "lattice": [[5.125, 0.000, 0.000], [0.000, 5.125, 0.000], [0.000, 0.000, 5.365]], "species": ["Si", "Cl", "Cl", "Sb", "P"], "fractional_positions": [[0.500, 0.500, 0.500], [0.000, 0.500, 0.000], [0.500, 0.000, 0.000], [0.000, 0.000, 0.000], [0.000, 0.000, 0.500]], "de_polymorph_mev_per_atom": 410.1, "raw_formation_energy_ev_per_fu": 2.9, "total_magnetization_mub_per_atom": 0.060, "sg": "No. 123"}

{"formula": "AlAg4", "functional": "PBE", "state": "relaxed", "lattice": [[-4.546, -1.252, 2.579], [2.861, -1.679, 4.228], [0.631, 7.281, -0.951]], "species": ["Ag", "Ag", "Ag", "Ag", "Ag", "Ag", "Ag", "Ag", "Al", "Al"], "fractional_positions": [[0.177, 0.295, 0.840], [0.705, 0.338, 0.160], [0.294, 0.427, 0.340], [0.456, 0.823, 0.160], [0.573, 0.955, 0.660], [0.662, 0.544, 0.840], [0.045, 0.912, 0.340], [0.088, 0.706, 0.660], [0.000, 0.000, 0.000], [0.750, 0.250, 0.500]], "delta_e_f_ev_per_atom": 0.046, "total_magnetization_mub_per_atom": 0.000, "sg": "No. 88"}

D(E_F) (computed, states/eV/f.u.): 1.91, 0.96
VASP energy (computed, eV/atom): -3.155, -2.984